Below is Pr3Si2Cl after structural relaxation, with properties calculated at the PBE level.

## Properties
size of the total moment: 0.0 μB per cell
uncorrected formation energy: -0.949 eV/atom

Cell lengths 9.4876, 9.4876, 9.4876 Å; angles 154.05, 154.05, 37.02 degrees
Element x y z (fractional)
Pr: 0.0000 0.0000 0.0000
Pr: 0.3324 0.3324 0.0000
Pr: 0.6676 0.6676 0.0000
Si: 0.1621 0.1621 0.0000
Si: 0.8379 0.8379 0.0000
Cl: 0.5000 0.5000 0.0000